A plane-wave DFT calculation with GGA-PBE was carried out for a relaxed structure of Pr8HoTm2.

```
Pr8HoTm2
1.0
5.483 0.000 -1.665
-1.019 7.547 -3.356
-0.097 -0.358 9.542
Pr Tm Ho
8 2 1
direct
0.364 0.567 0.727
0.000 0.293 0.000
0.636 0.433 0.273
0.636 0.840 0.273
0.000 0.707 0.000
0.163 0.163 0.327
0.364 0.160 0.727
0.837 0.837 0.673
0.201 0.701 0.402
0.799 0.299 0.598
0.500 0.000 0.000
```

Calculated formation energy ... 1.22 eV/f.u.
Spin magnetization ... 0.000 μB per cell
DOS at the Fermi energy ... 16.2 states/eV/f.u.
Excess energy over the best structure of this formula in the dataset ... 0.000 eV/atom